Entry 1:
Below is a geometry-optimized Pr4Au2Cl structure, with properties calculated at the PBE level.

```
7
Lattice="-2.695 2.695 7.437 2.695 -2.695 7.437 2.695 2.695 -7.437" Properties=species:S:1:pos:R:3 pbc="T T T"
Pr 2.695 0.000 0.000
Pr 0.000 0.000 2.931
Pr 0.000 2.695 0.000
Pr 0.000 0.000 11.943
Au 0.000 0.000 5.805
Au 0.000 0.000 9.070
Cl 0.000 0.000 0.000
```

Properties
**Volume**: 30.9 Å³/atom
**Total moment**: 0.00 Bohr magnetons per cell
**Calculated total energy**: -4.608 eV per atom

---

Entry 2:
Below is a geometry-optimized Pr2AuCl2 structure, with properties calculated at the PBE level.

```
5
Lattice="2.083 1.203 10.656 -2.083 1.203 10.656 0.000 -2.405 10.656" Properties=species:S:1:pos:R:3 pbc="T T T"
Pr 0.000 0.000 3.450
Pr 0.000 0.000 28.518
Au 0.000 0.000 15.984
Cl 0.000 0.000 8.898
Cl 0.000 0.000 23.070
```

Properties
**Volume**: 32.0 Å³/atom
**Total moment**: 0.60 Bohr magnetons per cell
**Calculated total energy**: -4.785 eV per atom

---

Entry 3:
Below is a geometry-optimized Pr6Au2Cl structure, with properties calculated at the PBE level.

```
18
Lattice="6.851 0.000 0.000 0.000 7.644 0.000 -6.487 0.000 10.637" Properties=species:S:1:pos:R:3 pbc="T T T"
Pr -2.225 1.525 4.610
Pr -5.469 2.297 9.928
Pr -0.973 5.081 4.611
Pr -4.217 6.384 9.930
Pr 1.195 0.265 2.586
Pr -2.049 3.557 7.905
Pr 2.413 4.087 2.733
Pr -0.831 7.379 8.051
Pr 4.581 1.259 0.707
Pr 1.337 2.562 6.026
Pr 5.833 5.347 0.709
Pr 2.589 6.119 6.028
Au -3.672 0.905 7.825
Au -0.429 2.917 2.507
Au 0.793 4.726 8.131
Au 4.036 6.739 2.812
Cl 0.182 0.000 5.319
Cl 3.426 3.822 0.000
```

Properties
**Volume**: 30.9 Å³/atom
**Total moment**: 0.00 Bohr magnetons per cell
**Calculated total energy**: -4.790 eV per atom

---

Entry 4:
Below is a geometry-optimized Pr6Pt2AuCl3 structure, with properties calculated at the PBE level.

```
12
Lattice="3.683 -6.379 0.000 3.683 6.379 0.000 -2.457 0.000 7.375" Properties=species:S:1:pos:R:3 pbc="T T T"
Pr -0.046 2.204 5.761
Pr 1.138 0.000 1.615
Pr -0.046 -2.204 5.761
Pr 4.956 2.204 1.614
Pr 3.771 0.000 5.760
Pr 4.956 -2.204 1.614
Pt 3.683 4.253 0.000
Pt 3.683 -4.253 0.000
Au 3.683 0.000 0.000
Cl -1.229 0.000 3.687
Cl 2.455 2.115 3.687
Cl 2.455 -2.115 3.687
```

Properties
**Volume**: 28.9 Å³/atom
**Total moment**: 0.00 Bohr magnetons per cell
**Calculated total energy**: -5.376 eV per atom